Entry 1:
CaTeSe2 | PBE | optimized geometry

Cell: 6.227 6.227 6.227 Å, 139.36 139.36 58.83°
Atoms (fractional coordinates):
Ca1 0.750 0.250 0.500
Se1 0.500 0.500 0.000
Se2 0.000 0.000 0.000
Te1 0.250 0.750 0.500

***

Entry 2:
CaTe3Se | PBE | optimized geometry

Calculated values
energy above the most stable polymorph in this dataset	624	meV per atom

Cell: 5.811 5.811 5.811 Å, 90.00 90.00 90.00°
Atoms (fractional coordinates):
Te1 0.000 0.000 0.500
Te2 0.000 0.500 0.000
Te3 0.500 0.000 0.000
Ca1 0.000 0.000 0.000
Se1 0.500 0.500 0.500

***

Entry 3:
Ca2Te2Se | PBE | optimized geometry

Cell: 7.957 7.957 4.828 Å, 90.00 90.00 90.00°
Atoms (fractional coordinates):
Te1 0.872 0.372 0.500
Te2 0.372 0.128 0.500
Te3 0.628 0.872 0.500
Te4 0.128 0.628 0.500
Se1 0.500 0.500 0.000
Se2 0.000 0.000 0.000
Ca1 0.320 0.820 0.000
Ca2 0.680 0.180 0.000
Ca3 0.180 0.320 0.000
Ca4 0.820 0.680 0.000

***

Entry 4:
CaTeSe2 | PBE | optimized geometry

Cell: 7.571 7.571 7.571 Å, 149.17 149.57 43.87°
Atoms (fractional coordinates):
Se1 0.970 0.970 0.000
Se2 0.733 0.233 0.500
Ca1 0.282 0.782 0.500
Te1 0.515 0.515 0.000

***

Entry 5:
CaTeSe3 | PBE | optimized geometry

Calculated values
energy above the most stable polymorph in this dataset	538	meV per atom

Cell: 5.410 5.410 5.410 Å, 90.00 90.00 90.00°
Atoms (fractional coordinates):
Se1 0.000 0.500 0.000
Se2 0.000 0.000 0.500
Se3 0.500 0.000 0.000
Ca1 0.000 0.000 0.000
Te1 0.500 0.500 0.500

***

Entry 6:
CaTeSe2 | PBE | optimized geometry

Cell: 4.983 4.093 6.011 Å, 66.28 90.00 90.00°
Atoms (fractional coordinates):
Se1 0.500 0.318 0.380
Se2 0.000 0.035 0.901
Ca1 0.500 0.590 0.823
Te1 0.000 0.557 0.396

***

Entry 7:
Ca6TeSe4 | PBE | optimized geometry

Cell: 4.228 7.280 21.443 Å, 90.00 90.00 106.88°
Atoms (fractional coordinates):
Se1 0.864 0.728 0.955
Se2 0.136 0.272 0.045
Se3 0.595 0.190 0.878
Se4 0.136 0.272 0.455
Se5 0.595 0.190 0.622
Se6 0.405 0.810 0.378
Se7 0.405 0.810 0.122
Se8 0.864 0.728 0.545
Ca1 0.500 0.000 0.000
Ca2 0.773 0.547 0.420
Ca3 0.037 0.074 0.335
Ca4 0.963 0.926 0.665
Ca5 0.500 0.000 0.500
Ca6 0.037 0.074 0.165
Ca7 0.773 0.547 0.080
Ca8 0.227 0.453 0.920
Ca9 0.340 0.679 0.250
Ca10 0.227 0.453 0.580
Ca11 0.963 0.926 0.835
Ca12 0.660 0.321 0.750
Te1 0.336 0.673 0.750
Te2 0.664 0.327 0.250

***

Entry 8:
CaTeSe2 | PBE | optimized geometry

Cell: 5.744 5.744 9.228 Å, 71.87 71.87 90.00°
Atoms (fractional coordinates):
Se1 0.645 0.125 0.250
Se2 0.375 0.355 0.750
Se3 0.105 0.625 0.250
Se4 0.875 0.895 0.750
Te1 0.000 0.000 0.000
Te2 0.750 0.250 0.500
Ca1 0.500 0.500 0.000
Ca2 0.250 0.750 0.500

***

Number 1: spin magnetization 0.0 μB/cell, formation energy from raw total energies -497 meV per atom. Number 2: spin magnetization 0.9 μB/cell, formation energy from raw total energies 399 meV per atom. Number 3: spin magnetization 0.0 μB/cell, formation energy from raw total energies -1087 meV per atom. Number 4: spin magnetization 0.0 μB/cell, formation energy from raw total energies -780 meV per atom. Number 5: spin magnetization 0.0 μB/cell, formation energy from raw total energies 177 meV per atom. Number 6: spin magnetization 0.0 μB/cell, formation energy from raw total energies -870 meV per atom. Number 7: spin magnetization 1.1 μB/cell, formation energy from raw total energies -1698 meV per atom. Number 8: spin magnetization 0.0 μB/cell, formation energy from raw total energies -640 meV per atom.